Record 1
# Sc2AuO

A geometry-optimized Sc2AuO structure (PBE, the Alexandria database).

a b c (Å): 6.1849 6.1849 5.8031
angles (deg): 57.80 57.80 90.00
Atoms (fractional coordinates):
Sc (0.2145, 0.6250, 0.2500)
Sc (0.8750, 0.7855, 0.7500)
Sc (0.5355, 0.1250, 0.2500)
Sc (0.3750, 0.4645, 0.7500)
Au (0.0000, 0.0000, 0.0000)
Au (0.7500, 0.2500, 0.5000)
O (0.5000, 0.5000, 0.0000)
O (0.2500, 0.7500, 0.5000)

---

Record 2
# ScAu3O

A geometry-optimized ScAu3O structure (PBE, the Alexandria database).

Properties
excess energy over the best structure of this formula in the dataset: 971 meV per atom

a b c (Å): 5.1583 5.1583 5.1583
angles (deg): 90.00 90.00 90.00
Atoms (fractional coordinates):
O (0.5000, 0.5000, 0.5000)
Au (0.5000, 0.0000, 0.0000)
Au (0.0000, 0.5000, 0.0000)
Au (0.0000, 0.0000, 0.5000)
Sc (0.0000, 0.0000, 0.0000)

---

Record 3
# Sc4Au2O

A geometry-optimized Sc4Au2O structure (PBE, the Alexandria database).

a b c (Å): 4.3283 4.3283 7.6819
angles (deg): 73.64 73.64 90.00
Atoms (fractional coordinates):
Sc (0.8230, 0.8230, 0.3541)
Sc (0.1770, 0.1770, 0.6459)
Sc (0.5000, 0.0000, 0.0000)
Sc (0.0000, 0.5000, 0.0000)
Au (0.6331, 0.6331, 0.7339)
Au (0.3669, 0.3669, 0.2661)
O (0.0000, 0.0000, 0.0000)

---

Record 4
# Sc2Au2O7

A geometry-optimized Sc2Au2O7 structure (PBE, the Alexandria database).

a b c (Å): 7.1914 7.1914 7.1914
angles (deg): 60.00 60.00 60.00
Atoms (fractional coordinates):
Au (0.1250, 0.1250, 0.6250)
Au (0.1250, 0.1250, 0.1250)
Au (0.1250, 0.6250, 0.1250)
Au (0.6250, 0.1250, 0.1250)
O (0.7687, 0.7687, 0.2313)
O (0.2313, 0.7687, 0.7687)
O (0.7687, 0.2313, 0.2313)
O (0.0187, 0.4813, 0.4813)
O (0.4813, 0.0187, 0.4813)
O (0.2313, 0.7687, 0.2313)
O (0.4813, 0.0187, 0.0187)
O (0.2313, 0.2313, 0.7687)
O (0.7687, 0.2313, 0.7687)
O (0.0187, 0.0187, 0.4813)
O (0.0187, 0.4813, 0.0187)
O (0.7500, 0.7500, 0.7500)
O (0.4813, 0.4813, 0.0187)
O (0.5000, 0.5000, 0.5000)
Sc (0.1250, 0.6250, 0.6250)
Sc (0.6250, 0.6250, 0.1250)
Sc (0.6250, 0.1250, 0.6250)
Sc (0.6250, 0.6250, 0.6250)

---

Record 5
# Sc4SiAuO

A geometry-optimized Sc4SiAuO structure (PBE, the Alexandria database).

a b c (Å): 6.0154 5.9988 7.7478
angles (deg): 90.00 112.84 90.00
Atoms (fractional coordinates):
Au (0.6147, 0.7500, 0.2294)
Au (0.3853, 0.2500, 0.7706)
Si (0.1158, 0.2500, 0.2316)
Si (0.8842, 0.7500, 0.7684)
O (0.2497, 0.7500, 0.4995)
O (0.7503, 0.2500, 0.5005)
Sc (0.0000, 0.0000, 0.5000)
Sc (0.5000, 0.5000, 0.5000)
Sc (0.5000, 0.0000, 0.5000)
Sc (0.5744, 0.2500, 0.1489)
Sc (0.0000, 0.5000, 0.5000)
Sc (0.4256, 0.7500, 0.8511)
Sc (0.0781, 0.7500, 0.1562)
Sc (0.9219, 0.2500, 0.8438)

---

Record 6
# ScSiAu2O

A geometry-optimized ScSiAu2O structure (PBE, the Alexandria database).

a b c (Å): 5.3310 3.7871 5.3310
angles (deg): 90.00 90.00 90.00
Atoms (fractional coordinates):
O (0.0000, 0.5000, 0.0000)
Au (0.5000, 0.0000, 0.0000)
Au (0.0000, 0.0000, 0.5000)
Sc (0.0000, 0.0000, 0.0000)
Si (0.5000, 0.5000, 0.5000)

---

Record 7
# Sc4SnAuO

A geometry-optimized Sc4SnAuO structure (PBE, the Alexandria database).

a b c (Å): 6.0993 6.1032 8.0124
angles (deg): 90.00 112.37 90.00
Atoms (fractional coordinates):
Sc (0.0000, 0.5000, 0.5000)
Sc (0.5686, 0.2500, 0.1373)
Sc (0.5000, 0.5000, 0.5000)
Sc (0.4314, 0.7500, 0.8627)
Sc (0.0000, 0.0000, 0.5000)
Sc (0.9111, 0.2500, 0.8223)
Sc (0.5000, 0.0000, 0.5000)
Sc (0.0889, 0.7500, 0.1777)
O (0.2466, 0.7500, 0.4932)
O (0.7534, 0.2500, 0.5068)
Au (0.3819, 0.2500, 0.7638)
Au (0.6181, 0.7500, 0.2362)
Sn (0.8925, 0.7500, 0.7850)
Sn (0.1075, 0.2500, 0.2150)

---

Record 8
# Sr3ScAu2O6

A geometry-optimized Sr3ScAu2O6 structure (PBE, the Alexandria database).

a b c (Å): 5.8617 5.8617 6.5396
angles (deg): 90.00 90.00 120.00
Atoms (fractional coordinates):
O (0.6734, 0.8367, 0.3116)
O (0.1633, 0.8367, 0.3116)
O (0.1633, 0.3266, 0.3116)
O (0.3266, 0.1633, 0.6884)
O (0.8367, 0.6734, 0.6884)
O (0.8367, 0.1633, 0.6884)
Sr (0.3333, 0.6667, 0.6131)
Sr (0.6667, 0.3333, 0.3869)
Sr (0.0000, 0.0000, 0.0000)
Au (0.3333, 0.6667, 0.1074)
Au (0.6667, 0.3333, 0.8926)
Sc (0.0000, 0.0000, 0.5000)

---

The records above give, respectively, DFT total energy values of -6.94, -3.12, -6.57, -6.34, -6.90, -4.93, -6.68, -5.77 eV per atom.
The records above give, respectively, energy relative to the elements, uncorrected values of -6.88, 5.52, -9.18, -15.77, -9.30, -1.38, -9.18, -21.58 eV/f.u..